A plane-wave DFT calculation with PBE-GGA was carried out for BaCuPb2 after structural relaxation.

Structure (POSCAR):
```
BaCuPb2
1.0
-0.292 3.458 -4.144
-0.080 -4.153 -3.459
-9.852 -0.572 -3.308
Pb Cu Ba
4 2 2
direct
0.509 0.125 0.250 Pb
0.241 0.625 0.250 Pb
0.375 0.491 0.750 Pb
0.875 0.759 0.750 Pb
0.500 0.500 0.000 Cu
0.250 0.750 0.500 Cu
0.000 0.000 0.000 Ba
0.750 0.250 0.500 Ba
```

Output
- calculated density (g cm⁻³) = 7.22
- E (eV/cell) = -26.87

---

A plane-wave DFT calculation with PBE-GGA was carried out for BeCo3Re after structural relaxation.

Structure (POSCAR):
```
BeCo3Re
1.0
3.837 0.000 0.000
0.000 3.837 0.000
0.000 0.000 3.837
Re Co Be
1 3 1
direct
0.500 0.500 0.500 Re
0.500 0.000 0.000 Co
0.000 0.000 0.500 Co
0.000 0.500 0.000 Co
0.000 0.000 0.000 Be
```

Output
- calculated density (g cm⁻³) = 10.93
- E (eV/cell) = -34.72

---

A plane-wave DFT calculation with PBE-GGA was carried out for NbCd after structural relaxation.

Structure (POSCAR):
```
NbCd
1.0
-7.638 -6.034 -1.010
7.810 -0.978 -5.814
1.230 -1.887 1.970
Nb Cd
6 6
direct
0.138 0.569 0.250 Nb
0.569 0.431 0.750 Nb
0.569 0.138 0.750 Nb
0.431 0.569 0.250 Nb
0.862 0.431 0.750 Nb
0.431 0.862 0.250 Nb
0.846 0.154 0.250 Cd
0.154 0.308 0.750 Cd
0.154 0.846 0.750 Cd
0.846 0.692 0.250 Cd
0.692 0.846 0.750 Cd
0.308 0.154 0.250 Cd
```

Output
- calculated density (g cm⁻³) = 8.24
- E (eV/cell) = -62.88

---

A plane-wave DFT calculation with PBE-GGA was carried out for RuWSe after structural relaxation.

Structure (POSCAR):
```
RuWSe
1.0
-3.147 -0.816 2.809
3.472 -2.526 -0.129
1.318 1.711 1.974
Ru W Se
1 1 1
direct
0.000 0.000 0.001 Ru
0.667 0.333 0.500 W
0.333 0.667 0.499 Se
```

Output
- calculated density (g cm⁻³) = 12.92
- energy relative to the elements, uncorrected (eV per atom) = 0.31
- E (eV/cell) = -24.79

---

A plane-wave DFT calculation with PBE-GGA was carried out for TbSm7Mg2 after structural relaxation.

Structure (POSCAR):
```
TbSm7Mg2
1.0
5.330 0.000 0.000
0.000 9.363 -0.585
0.000 -4.746 8.093
Sm Mg Tb
7 2 1
direct
0.500 0.070 0.297 Sm
0.500 0.703 0.930 Sm
0.500 0.500 0.500 Sm
0.500 0.297 0.070 Sm
0.500 0.930 0.703 Sm
0.000 0.788 0.212 Sm
0.000 0.212 0.788 Sm
0.500 0.702 0.298 Mg
0.500 0.298 0.702 Mg
0.000 0.000 0.000 Tb
```

Output
- calculated density (g cm⁻³) = 5.38
- E (eV/cell) = -35.44

---

A plane-wave DFT calculation with PBE-GGA was carried out for YMgCu5 after structural relaxation.

Structure (POSCAR):
```
YMgCu5
1.0
3.618 0.000 0.000
0.000 3.618 0.000
0.000 0.000 8.637
Cu Y Mg
5 1 1
direct
0.500 0.500 0.000 Cu
0.000 0.500 0.770 Cu
0.500 0.000 0.770 Cu
0.000 0.500 0.230 Cu
0.500 0.000 0.230 Cu
0.500 0.500 0.500 Y
0.000 0.000 0.000 Mg
```

Output
- calculated density (g cm⁻³) = 6.33
- E (eV/cell) = -28.53

---

A plane-wave DFT calculation with PBE-GGA was carried out for Cs3Mn2CdCl9 after structural relaxation.

Structure (POSCAR):
```
Cs3Mn2CdCl9
1.0
7.362 0.000 0.000
-3.681 6.375 0.000
0.000 0.000 9.021
Cl Mn Cs Cd
9 2 3 1
direct
0.171 0.829 0.327 Cl
0.500 0.500 0.000 Cl
0.500 0.000 0.000 Cl
0.829 0.658 0.673 Cl
0.342 0.171 0.673 Cl
0.171 0.342 0.327 Cl
0.658 0.829 0.327 Cl
0.000 0.500 0.000 Cl
0.829 0.171 0.673 Cl
0.333 0.667 0.162 Mn
0.667 0.333 0.838 Mn
0.333 0.667 0.667 Cs
0.667 0.333 0.333 Cs
0.000 0.000 0.000 Cs
0.000 0.000 0.500 Cd
```

Output
- calculated density (g cm⁻³) = 3.69
- energy relative to the elements, uncorrected (eV per atom) = -1.47
- E (eV/cell) = -60.55

---

A plane-wave DFT calculation with PBE-GGA was carried out for LiMg5Cd3 after structural relaxation.

Structure (POSCAR):
```
LiMg5Cd3
1.0
6.553 -0.268 -0.537
1.536 6.376 -0.537
1.885 1.423 10.458
Cd Mg Li
6 10 2
direct
0.272 0.272 0.564 Cd
0.000 0.000 0.500 Cd
0.257 0.257 0.117 Cd
0.743 0.743 0.883 Cd
0.000 0.000 0.000 Cd
0.728 0.728 0.436 Cd
0.326 0.674 0.000 Mg
0.674 0.326 0.000 Mg
0.529 0.529 0.666 Mg
0.989 0.608 0.657 Mg
0.392 0.011 0.343 Mg
0.011 0.392 0.343 Mg
0.608 0.989 0.657 Mg
0.271 0.271 0.849 Mg
0.729 0.729 0.151 Mg
0.471 0.471 0.334 Mg
0.976 0.976 0.252 Li
0.024 0.024 0.748 Li
```

Output
- calculated density (g cm⁻³) = 3.42
- E (eV/cell) = -23.80

---

A plane-wave DFT calculation with PBE-GGA was carried out for NaAg3Os after structural relaxation.

Structure (POSCAR):
```
NaAg3Os
1.0
4.651 0.000 0.000
0.000 4.651 0.000
0.000 0.000 4.651
Ag Os Na
3 1 1
direct
0.000 0.000 0.500 Ag
0.500 0.000 0.000 Ag
0.000 0.500 0.000 Ag
0.500 0.500 0.500 Os
0.000 0.000 0.000 Na
```

Output
- calculated density (g cm⁻³) = 8.86
- E (eV/cell) = -12.76

---

A plane-wave DFT calculation with PBE-GGA was carried out for TbScN2 after structural relaxation.

Structure (POSCAR):
```
TbScN2
1.0
3.309 0.000 0.000
1.655 2.866 0.000
1.655 0.955 5.729
N Tb Sc
2 1 1
direct
0.085 0.085 0.745 N
0.245 0.245 0.265 N
0.670 0.670 0.989 Tb
0.499 0.499 0.502 Sc
```

Output
- calculated density (g cm⁻³) = 7.09
- energy relative to the elements, uncorrected (eV per atom) = -1.44
- E (eV/cell) = -33.38

---

A plane-wave DFT calculation with PBE-GGA was carried out for CaReAs2 after structural relaxation.

Structure (POSCAR):
```
CaReAs2
1.0
-2.305 -3.756 1.671
1.636 -4.338 -0.846
1.863 -2.541 3.504
As Ca Re
2 1 1
direct
0.250 0.250 0.250 As
0.000 0.000 0.000 As
0.500 0.500 0.500 Ca
0.750 0.750 0.750 Re
```

Output
- calculated density (g cm⁻³) = 8.44
- E (eV/cell) = -21.48

---

A plane-wave DFT calculation with PBE-GGA was carried out for CdCu after structural relaxation.

Structure (POSCAR):
```
CdCu
1.0
-4.213 2.055 -2.578
4.169 -1.889 -2.769
-1.928 -4.092 -0.111
Cd Cu
3 3
direct
0.333 0.667 0.500 Cd
0.000 0.000 0.000 Cd
0.667 0.333 0.500 Cd
0.000 0.500 0.000 Cu
0.500 0.000 0.000 Cu
0.500 0.500 0.000 Cu
```

Output
- calculated density (g cm⁻³) = 7.82
- E (eV/cell) = -14.71

---

| no. | total magnetic moment (μB per formula unit) |
| --- | --- |
| 1 | 0.00 |
| 2 | 4.63 |
| 3 | 0.00 |
| 4 | 0.00 |
| 5 | 0.00 |
| 6 | 0.00 |
| 7 | 10.00 |
| 8 | 0.00 |
| 9 | 1.54 |
| 10 | 0.00 |
| 11 | 0.12 |
| 12 | 0.00 |